Record 1
{"formula": "NiIrC2", "functional": "PBE", "state": "optimized geometry", "e_form_ev_per_atom": 0.537, "relative_energy_kj_per_mol_fu": 0.0, "final_energy_ev_per_atom": -7.735, "total_magnetization_mub_per_fu": 0.00, "cell": [[-2.530, -0.047, 2.726], [-2.125, -2.297, -2.012], [2.913, -4.988, 2.618]], "species": ["Ir", "Ir", "C", "Ni", "C", "C", "Ni", "C"], "frac_coords": [[0.000, 0.500, 0.250], [0.500, 0.000, 0.750], [0.000, 0.000, 0.885], [0.000, 0.500, 0.750], [0.000, 0.000, 0.115], [0.500, 0.500, 0.615], [0.500, 0.000, 0.250], [0.500, 0.500, 0.385]]}

=====

Record 2
{"formula": "NiIrC2", "functional": "PBE", "state": "optimized geometry", "e_form_ev_per_atom": 0.695, "relative_energy_kj_per_mol_fu": 60.8, "final_energy_ev_per_atom": -7.578, "total_magnetization_mub_per_fu": 0.00, "cell": [[-0.962, 2.277, 2.089], [-2.115, -1.275, -2.092], [-3.188, -9.770, 9.178]], "species": ["C", "C", "C", "C", "C", "Ni", "Ir", "Ir", "C", "Ni", "Ir", "Ni"], "frac_coords": [[0.000, 0.000, 0.283], [0.333, 0.667, 0.950], [0.000, 0.000, 0.386], [0.667, 0.333, 0.616], [0.667, 0.333, 0.719], [0.333, 0.667, 0.754], [0.667, 0.333, 0.222], [0.333, 0.667, 0.555], [0.333, 0.667, 0.052], [0.000, 0.000, 0.087], [0.000, 0.000, 0.889], [0.667, 0.333, 0.420]]}

=====

Record 3
{"formula": "NiIrC2", "functional": "PBE", "state": "optimized geometry", "e_form_ev_per_atom": 0.838, "relative_energy_kj_per_mol_fu": 116.1, "final_energy_ev_per_atom": -7.434, "total_magnetization_mub_per_fu": 0.00, "cell": [[2.825, -0.003, 0.013], [0.009, 3.701, -0.003], [1.409, 0.081, 4.485]], "species": ["Ni", "C", "Ir", "C"], "frac_coords": [[0.962, 0.580, 0.237], [0.048, 0.075, 0.070], [0.696, 0.245, 0.777], [0.891, 0.055, 0.385]]}

=====

Record 4
{"formula": "NiIrC2", "functional": "PBE", "state": "optimized geometry", "e_form_ev_per_atom": 0.619, "relative_energy_kj_per_mol_fu": 31.7, "final_energy_ev_per_atom": -7.653, "total_magnetization_mub_per_fu": 0.00, "cell": [[3.880, 0.000, -0.005], [0.000, 2.687, 0.000], [-0.985, 0.000, 4.141]], "species": ["C", "Ir", "C", "Ni"], "frac_coords": [[0.955, 0.500, 0.720], [0.948, 0.000, 0.345], [0.758, 0.500, 0.962], [0.360, 0.000, 0.907]]}

=====

Record 5
{"formula": "NiIr3C", "functional": "PBE", "state": "optimized geometry", "e_form_ev_per_atom": 2.871, "relative_energy_kj_per_mol_fu": 1133.3, "final_energy_ev_per_atom": -5.446, "total_magnetization_mub_per_fu": 2.24, "cell": [[4.437, 0.000, 0.000], [0.000, 4.437, 0.000], [0.000, 0.000, 4.437]], "species": ["C", "Ni", "Ir", "Ir", "Ir"], "frac_coords": [[0.500, 0.500, 0.500], [0.000, 0.000, 0.000], [0.000, 0.500, 0.000], [0.000, 0.000, 0.500], [0.500, 0.000, 0.000]]}

=====

Record 6
{"formula": "NiIrC2", "functional": "PBE", "state": "optimized geometry", "e_form_ev_per_atom": 1.541, "relative_energy_kj_per_mol_fu": 387.2, "final_energy_ev_per_atom": -6.732, "total_magnetization_mub_per_fu": 0.00, "cell": [[0.000, 2.641, 2.641], [2.641, 0.000, 2.641], [2.641, 2.641, 0.000]], "species": ["C", "C", "Ni", "Ir"], "frac_coords": [[0.250, 0.250, 0.250], [0.750, 0.750, 0.750], [0.000, 0.000, 0.000], [0.500, 0.500, 0.500]]}

=====

Repeat the fifth record exactly.
{"formula": "NiIr3C", "functional": "PBE", "state": "optimized geometry", "e_form_ev_per_atom": 2.871, "relative_energy_kj_per_mol_fu": 1133.3, "final_energy_ev_per_atom": -5.446, "total_magnetization_mub_per_fu": 2.24, "cell": [[4.437, 0.000, 0.000], [0.000, 4.437, 0.000], [0.000, 0.000, 4.437]], "species": ["C", "Ni", "Ir", "Ir", "Ir"], "frac_coords": [[0.500, 0.500, 0.500], [0.000, 0.000, 0.000], [0.000, 0.500, 0.000], [0.000, 0.000, 0.500], [0.500, 0.000, 0.000]]}